Entry 1:
VASP calculation (PBE) on a relaxed CuMo2Rh crystal.

Unit cell a=6.168 b=6.168 c=6.168 alpha=90.00 beta=90.00 gamma=90.00
Sites, in units of the cell vectors:
Cu  0.000  0.000  0.000
Cu  0.000  0.500  0.500
Cu  0.500  0.000  0.500
Cu  0.500  0.500  0.000
Mo  0.000  0.000  0.500
Mo  0.000  0.500  0.000
Mo  0.250  0.250  0.250
Mo  0.250  0.750  0.750
Mo  0.500  0.000  0.000
Mo  0.500  0.500  0.500
Mo  0.750  0.250  0.750
Mo  0.750  0.750  0.250
Rh  0.250  0.250  0.750
Rh  0.250  0.750  0.250
Rh  0.750  0.250  0.250
Rh  0.750  0.750  0.750

Results
SG   F-43m
Electronic total energy   -129.45 eV/cell
Mass density   10.141 g/cm³
DFT formation energy   0.187 eV/atom
Total magnetic moment   0.0 μB per formula unit

***

Entry 2:
VASP calculation (PBE) on a relaxed Ca2Ge3 crystal.

Unit cell a=13.911 b=13.911 c=4.048 alpha=90.00 beta=90.00 gamma=161.71
Sites, in units of the cell vectors:
Ca  0.077  0.923  0.750
Ca  0.204  0.796  0.250
Ca  0.796  0.204  0.750
Ca  0.923  0.077  0.250
Ge  0.318  0.682  0.250
Ge  0.376  0.624  0.750
Ge  0.473  0.527  0.750
Ge  0.527  0.473  0.250
Ge  0.624  0.376  0.250
Ge  0.682  0.318  0.750

Results
SG   Cmcm
ΔE to the lowest computed polymorph   0.000 eV per atom
Electronic total energy   -40.64 eV/cell
Mass density   4.026 g/cm³
DFT formation energy   -0.493 eV/atom
Total magnetic moment   0.0 μB per formula unit

***

Entry 3:
VASP calculation (PBE) on a relaxed SrMgHOs2 crystal.

Unit cell a=4.117 b=4.117 c=4.588 alpha=90.00 beta=90.00 gamma=90.00
Sites, in units of the cell vectors:
Sr  0.000  0.000  0.000
Mg  0.500  0.500  0.000
H  0.500  0.500  0.500
Os  0.000  0.500  0.500
Os  0.500  0.000  0.500

Results
SG   P4/mmm
Electronic total energy   -25.60 eV/cell
Mass density   10.535 g/cm³
Total magnetic moment   0.0 μB per formula unit

***

Entry 4:
VASP calculation (PBE) on a relaxed YErMgRh crystal.

Unit cell a=7.123 b=7.123 c=7.123 alpha=90.00 beta=90.00 gamma=90.00
Sites, in units of the cell vectors:
Y  0.000  0.000  0.000
Y  0.000  0.500  0.500
Y  0.500  0.000  0.500
Y  0.500  0.500  0.000
Er  0.000  0.000  0.500
Er  0.000  0.500  0.000
Er  0.500  0.000  0.000
Er  0.500  0.500  0.500
Mg  0.250  0.250  0.250
Mg  0.250  0.750  0.750
Mg  0.750  0.250  0.750
Mg  0.750  0.750  0.250
Rh  0.250  0.250  0.750
Rh  0.250  0.750  0.250
Rh  0.750  0.250  0.250
Rh  0.750  0.750  0.750

Results
SG   F-43m
Electronic total energy   -86.69 eV/cell
Mass density   7.047 g/cm³
DFT formation energy   -0.425 eV/atom
Total magnetic moment   0.0 μB per formula unit

***

Entry 5:
VASP calculation (PBE) on a relaxed Mg2GaFeB crystal.

Unit cell a=4.504 b=4.504 c=3.880 alpha=90.00 beta=90.00 gamma=90.00
Sites, in units of the cell vectors:
Mg  0.000  0.500  0.000
Mg  0.500  0.000  0.000
Ga  0.000  0.000  0.500
Fe  0.500  0.500  0.500
B  0.500  0.500  0.000

Results
SG   P4/mmm
Electronic total energy   -20.45 eV/cell
Mass density   3.903 g/cm³
DFT formation energy   0.181 eV/atom
Total magnetic moment   1.8 μB per formula unit

***

Entry 6:
VASP calculation (PBE) on a relaxed PuScIn4 crystal.

Unit cell a=3.259 b=5.041 c=8.899 alpha=90.00 beta=90.00 gamma=90.00
Sites, in units of the cell vectors:
Pu  0.000  0.000  0.000
Sc  0.000  0.500  0.500
In  0.500  0.000  0.340
In  0.500  0.000  0.660
In  0.500  0.500  0.174
In  0.500  0.500  0.826

Results
SG   Pmmm
ΔE to the lowest computed polymorph   0.000 eV per atom
Electronic total energy   -32.95 eV/cell
Mass density   8.499 g/cm³
DFT formation energy   -0.223 eV/atom
Total magnetic moment   5.8 μB per formula unit

***

Q: Which formula does entry 3 have?
A: SrMgHOs2

***

Q: Which formula does entry 4 have?
A: YErMgRh

***

Please write out number 2 again, unchanged.
VASP calculation (PBE) on a relaxed Ca2Ge3 crystal.

Unit cell a=13.911 b=13.911 c=4.048 alpha=90.00 beta=90.00 gamma=161.71
Sites, in units of the cell vectors:
Ca  0.077  0.923  0.750
Ca  0.204  0.796  0.250
Ca  0.796  0.204  0.750
Ca  0.923  0.077  0.250
Ge  0.318  0.682  0.250
Ge  0.376  0.624  0.750
Ge  0.473  0.527  0.750
Ge  0.527  0.473  0.250
Ge  0.624  0.376  0.250
Ge  0.682  0.318  0.750

Results
SG   Cmcm
ΔE to the lowest computed polymorph   0.000 eV per atom
Electronic total energy   -40.64 eV/cell
Mass density   4.026 g/cm³
DFT formation energy   -0.493 eV/atom
Total magnetic moment   0.0 μB per formula unit

***

Q: Which formula does entry 2 have?
A: Ca2Ge3